Entry 1:
{
  "formula": "FeHgSb3",
  "functional": "meta-GGA SCAN",
  "state": "PBEsol geometry",
  "e_form_raw_ev_per_atom": 0.4571,
  "cell": [[4.9104, 0.0000, 0.0000], [0.0000, 4.9104, 0.0000], [0.0000, 0.0000, 4.9104]],
  "species": ["Sb", "Sb", "Sb", "Hg", "Fe"],
  "fractional_positions": [[0.0000, 0.0000, 0.5000], [0.0000, 0.5000, 0.0000], [0.5000, 0.0000, 0.0000], [0.5000, 0.5000, 0.5000], [0.0000, 0.0000, 0.0000]]
}

=====

Entry 2:
{
  "formula": "Ta2TcIr",
  "functional": "meta-GGA SCAN",
  "state": "PBEsol geometry",
  "final_energy_ev_per_atom": -60.16,
  "cell": [[3.3704, 0.0000, 0.0000], [0.0000, 4.5508, 0.0000], [-1.6852, -2.2754, 4.1233]],
  "species": ["Tc", "Ta", "Ta", "Ir"],
  "fractional_positions": [[0.0000, 0.5000, 0.0000], [0.7465, 0.7465, 0.4930], [0.2535, 0.2535, 0.5070], [0.5000, 0.0000, 0.0000]]
}

=====

Entry 3:
{
  "formula": "Mg5Cu3",
  "functional": "meta-GGA SCAN",
  "state": "PBEsol geometry",
  "polymorph_energy_ev_per_fu": 0.10,
  "cell": [[-2.2239, 1.7756, -1.4203], [-2.1368, -0.9528, 2.1546], [3.2045, 10.1439, 7.6640]],
  "species": ["Mg", "Mg", "Mg", "Mg", "Mg", "Cu", "Cu", "Cu"],
  "fractional_positions": [[0.0000, 0.0000, 0.7737], [0.5000, 0.5000, 0.6124], [0.5000, 0.5000, 0.3876], [0.0000, 0.0000, 0.0000], [0.0000, 0.0000, 0.2263], [0.0000, 0.0000, 0.5000], [0.5000, 0.5000, 0.1134], [0.5000, 0.5000, 0.8866]]
}

=====

Entry 4:
{
  "formula": "PtS3I",
  "functional": "meta-GGA SCAN",
  "state": "PBEsol geometry",
  "e_form_raw_ev_per_atom": 1.6809,
  "cell": [[4.9523, 0.0000, 0.0000], [0.0000, 4.9523, 0.0000], [0.0000, 0.0000, 4.9523]],
  "species": ["S", "S", "S", "I", "Pt"],
  "fractional_positions": [[0.0000, 0.5000, 0.0000], [0.5000, 0.0000, 0.0000], [0.0000, 0.0000, 0.5000], [0.0000, 0.0000, 0.0000], [0.5000, 0.5000, 0.5000]]
}

=====

Entry 5:
{
  "formula": "CoAsPb2",
  "functional": "meta-GGA SCAN",
  "state": "PBEsol geometry",
  "final_energy_ev_per_atom": -46.77,
  "cell": [[-2.5973, -0.1780, -2.6585], [-2.6778, -2.5770, 0.1847], [-5.8048, 3.5482, 2.8297]],
  "species": ["As", "Pb", "Pb", "Co"],
  "fractional_positions": [[0.0000, 0.0000, 0.0000], [0.7599, 0.7599, 0.7202], [0.2401, 0.2401, 0.2798], [0.5000, 0.5000, 0.5000]]
}

=====

Entry 6:
{
  "formula": "CdNiAg2W",
  "functional": "meta-GGA SCAN",
  "state": "PBEsol geometry",
  "final_energy_ev_per_atom": -33.85,
  "cell": [[4.5841, 0.0000, 0.0000], [0.0000, 4.8495, 0.0000], [0.0000, 0.0000, 4.8495]],
  "species": ["Ag", "Ag", "Ni", "W", "Cd"],
  "fractional_positions": [[0.0000, 0.5000, 0.0000], [0.0000, 0.0000, 0.5000], [0.5000, 0.0000, 0.0000], [0.5000, 0.5000, 0.5000], [0.0000, 0.0000, 0.0000]]
}

=====

Entry 7:
{
  "formula": "LaScAg2Pb",
  "functional": "meta-GGA SCAN",
  "state": "PBEsol geometry",
  "final_energy_ev_per_atom": -38.64,
  "cell": [[4.9937, 0.0000, 0.0000], [0.0000, 4.9937, 0.0000], [0.0000, 0.0000, 5.6292]],
  "species": ["Pb", "Ag", "Ag", "La", "Sc"],
  "fractional_positions": [[0.5000, 0.5000, 0.5000], [0.5000, 0.0000, 0.0000], [0.0000, 0.5000, 0.0000], [0.0000, 0.0000, 0.5000], [0.0000, 0.0000, 0.0000]]
}

=====

Entry 8:
{
  "formula": "SiTeAu2",
  "functional": "meta-GGA SCAN",
  "state": "PBEsol geometry",
  "polymorph_energy_ev_per_fu": 1.28,
  "e_form_raw_ev_per_atom": 0.2842,
  "cell": [[3.1730, 0.0660, 0.0000], [-0.0667, 3.1730, 0.0000], [0.0000, 0.0000, 7.7420]],
  "species": ["Au", "Au", "Te", "Si"],
  "fractional_positions": [[0.5000, 0.5000, 0.7301], [0.0000, 0.0000, 0.9671], [0.5000, 0.5000, 0.2397], [0.0000, 0.0000, 0.5631]]
}

=====

Entry 9:
{
  "formula": "GaTePtN2",
  "functional": "meta-GGA SCAN",
  "state": "PBEsol geometry",
  "e_form_raw_ev_per_atom": 1.0441,
  "cell": [[3.7630, 0.0000, 0.0000], [0.0000, 3.7630, 0.0000], [0.0000, 0.0000, 7.8531]],
  "species": ["Te", "N", "N", "Pt", "Ga"],
  "fractional_positions": [[0.0000, 0.0000, 0.5000], [0.5000, 0.0000, 0.0000], [0.0000, 0.5000, 0.0000], [0.0000, 0.0000, 0.0000], [0.5000, 0.5000, 0.5000]]
}

=====

Entry 10:
{
  "formula": "Tl3OsF",
  "functional": "meta-GGA SCAN",
  "state": "PBEsol geometry",
  "e_form_raw_ev_per_atom": 0.4848,
  "cell": [[4.8364, 0.0000, 0.0000], [0.0000, 4.8364, 0.0000], [0.0000, 0.0000, 4.8364]],
  "species": ["Os", "Tl", "Tl", "Tl", "F"],
  "fractional_positions": [[0.5000, 0.5000, 0.5000], [0.0000, 0.0000, 0.5000], [0.0000, 0.5000, 0.0000], [0.5000, 0.0000, 0.0000], [0.0000, 0.0000, 0.0000]]
}

=====

Entry 11:
{
  "formula": "ZnBiF3",
  "functional": "meta-GGA SCAN",
  "state": "PBEsol geometry",
  "e_form_raw_ev_per_atom": -1.5799,
  "cell": [[4.5597, 0.0000, 0.0000], [0.0000, 4.5597, 0.0000], [0.0000, 0.0000, 4.5597]],
  "species": ["Zn", "Bi", "F", "F", "F"],
  "fractional_positions": [[0.5000, 0.5000, 0.5000], [0.0000, 0.0000, 0.0000], [0.0000, 0.0000, 0.5000], [0.5000, 0.0000, 0.0000], [0.0000, 0.5000, 0.0000]]
}

=====

Entry 12:
{
  "formula": "Na3SrPt",
  "functional": "meta-GGA SCAN",
  "state": "PBEsol geometry",
  "final_energy_ev_per_atom": -20.98,
  "cell": [[-3.1770, -1.6698, 4.1209], [3.8337, -3.5942, 1.4992], [2.2522, 3.7625, 3.2609]],
  "species": ["Na", "Na", "Na", "Pt", "Sr"],
  "fractional_positions": [[0.5000, 0.0000, 0.0000], [0.0000, 0.5000, 0.0000], [0.0000, 0.0000, 0.5000], [0.0000, 0.0000, 0.0000], [0.5000, 0.5000, 0.5000]]
}